The following is a GGA-PBE calculation of a geometry-optimized U2Ge4Rh3 structure, from the Alexandria database.

abc: 7.6801 6.5661 5.5746
angles: 78.01 56.75 45.24
Closest atoms and distances in Å follow each position.
Sites, in units of the cell vectors:
1 U 0.1194 0.1194 0.8806  1 U 2.85, 2 Ge 2.99, 6 Rh 3.10-3.13
2 U 0.8806 0.8806 0.1194  1 U 2.85, 2 Ge 2.99, 6 Rh 3.10-3.13
3 Ge 0.1703 0.4950 0.5050  3 Rh 2.54-2.57, 1 Ge 2.60
4 Ge 0.4950 0.1703 0.8297  3 Rh 2.54-2.57, 1 Ge 2.60
5 Ge 0.5050 0.8297 0.1703  3 Rh 2.54-2.57, 1 Ge 2.60
6 Ge 0.8297 0.5050 0.4950  3 Rh 2.54-2.57, 1 Ge 2.60
7 Rh 0.0000 0.0000 0.5000  4 Ge 2.57, 4 Rh 2.76-2.79
8 Rh 0.5000 0.5000 0.0000  4 Ge 2.57, 4 Rh 2.76-2.79
9 Rh 0.5000 0.5000 0.5000  4 Ge 2.54, 4 Rh 2.79

Computed properties:
**Raw total energy**: -0.5488 Ry/atom
**Formation energy from the elements**: -0.46 eV per atom